Record 1
This record from Alexandria describes a relaxed structure of AcBiPdO6. The functional is PBE.

Cell lengths 5.1583, 5.1583, 10.2878 Å; angles 90.00, 90.00, 90.00 degrees
Space group P4_2nm (No. 102)
One atom of each set of equivalent atoms:
Ac 0.0000 0.0000 0.0000 [2 per cell]
Bi 0.0000 0.0000 0.3343 [2 per cell]
Pd 0.0000 0.0000 0.6689 [2 per cell]
O 0.1708 0.1708 0.5135 [4 per cell]
O 0.1994 0.1994 0.8155 [4 per cell]
O 0.2163 0.2163 0.1818 [4 per cell]

Summary:
Its energy relative to the elements, uncorrected is -1.244 eV per atom.

***

Record 2
This record from Alexandria describes a relaxed structure of Ta6C3N. The functional is PBE.

Cell lengths 5.4173, 5.4173, 15.1632 Å; angles 90.00, 90.00, 120.00 degrees
Space group R3 (No. 146, hexagonal axes)
One atom of each set of equivalent atoms:
Ta 0.0002 0.3265 0.0000 [9 per cell]
Ta 0.0086 0.6689 0.1667 [9 per cell]
C 0.0000 0.0000 0.0895 [3 per cell]
C 0.0000 0.0000 0.4108 [3 per cell]
C 0.0000 0.0000 0.9099 [3 per cell]
N 0.0000 0.0000 0.5909 [3 per cell]

Summary:
Its energy relative to the elements, uncorrected is -0.668 eV per atom.

***

Among the records above, which one has the highest energy relative to the elements, uncorrected?
Ta6C3N

***

What is the energy relative to the elements, uncorrected in the first record?
-1.244 eV per atom

***

energy relative to the elements, uncorrected of number 2 (Ta6C3N)?
-0.668 eV per atom